Version a
A plane-wave DFT calculation with meta-GGA SCAN was carried out for LiIrPd2 at its PBEsol-relaxed geometry.

Unit cell a=3.696 b=3.696 c=17.396 alpha=90.00 beta=90.00 gamma=90.00
Space group I-42d (No. 122)
Asymmetric unit:
Li  0.000  0.000  0.000 (multiplicity 4)
Ir  0.000  0.000  0.500 (multiplicity 4)
Pd  0.249  0.250  0.125 (multiplicity 8)

Version b
A plane-wave DFT calculation with meta-GGA SCAN was carried out for LiIrPd2 at its PBEsol-relaxed geometry.

Unit cell a=6.076 b=6.076 c=6.076 alpha=90.00 beta=90.00 gamma=90.00
Space group Fm-3m (No. 225)
Asymmetric unit:
Li  0.000  0.000  0.000 (multiplicity 4)
Ir  0.000  0.000  0.500 (multiplicity 4)
Pd  0.250  0.250  0.250 (multiplicity 8)

Quick ranking, most stable first: version b, version a.

Version a
A plane-wave DFT calculation with meta-GGA SCAN was carried out for LiIrPt2 at its PBEsol-relaxed geometry.

Unit cell a=5.405 b=7.628 c=2.688 alpha=90.00 beta=90.00 gamma=90.00
Space group Cmmm (No. 65)
Asymmetric unit:
Li  0.000  0.000  0.000 (multiplicity 2)
Ir  0.000  0.500  0.000 (multiplicity 2)
Pt  0.250  0.250  0.500 (multiplicity 4)

Version b
A plane-wave DFT calculation with meta-GGA SCAN was carried out for LiIrPt2 at its PBEsol-relaxed geometry.

Unit cell a=2.694 b=4.659 c=9.168 alpha=90.00 beta=90.00 gamma=90.00
Space group Cmmm (No. 65)
Asymmetric unit:
Li  0.000  0.000  0.000 (multiplicity 2)
Ir  0.000  0.000  0.500 (multiplicity 2)
Pt  0.000  0.500  0.241 (multiplicity 4)

Version c
A plane-wave DFT calculation with meta-GGA SCAN was carried out for LiIrPt2 at its PBEsol-relaxed geometry.

Unit cell a=2.7042 b=2.7042 c=26.8721 alpha=90.00 beta=90.00 gamma=120.00
Space group R-3m (No. 166, hexagonal axes)
Asymmetric unit:
Li  0.0000  0.0000  0.0000 (multiplicity 3)
Ir  0.0000  0.0000  0.5000 (multiplicity 3)
Pt  0.0000  0.0000  0.2517 (multiplicity 6)

Version d
A plane-wave DFT calculation with meta-GGA SCAN was carried out for LiIrPt2 at its PBEsol-relaxed geometry.

Unit cell a=2.687 b=4.459 c=4.663 alpha=90.00 beta=90.00 gamma=90.00
Space group Pmm2 (No. 25)
Asymmetric unit:
Li  0.000  0.000  0.000 (multiplicity 1)
Ir  0.000  0.500  0.373 (multiplicity 1)
Pt  0.500  0.000  0.497 (multiplicity 1)
Pt  0.500  0.500  0.879 (multiplicity 1)

Quick ranking, most stable first: version a, version d, version c, version b.

Version a
A plane-wave DFT calculation with meta-GGA SCAN was carried out for LiReIr at its PBEsol-relaxed geometry.

Unit cell a=2.697 b=3.852 c=7.661 alpha=90.00 beta=90.00 gamma=90.00
Space group Imm2 (No. 44)
Asymmetric unit:
Li  0.000  0.000  0.000 (multiplicity 2)
Re  0.000  0.000  0.675 (multiplicity 2)
Ir  0.000  0.000  0.331 (multiplicity 2)

Version b
A plane-wave DFT calculation with meta-GGA SCAN was carried out for LiReIr at its PBEsol-relaxed geometry.

Unit cell a=5.730 b=5.730 c=5.730 alpha=90.00 beta=90.00 gamma=90.00
Space group F-43m (No. 216)
Asymmetric unit:
Li  0.000  0.000  0.000 (multiplicity 4)
Re  0.000  0.000  0.500 (multiplicity 4)
Ir  0.250  0.250  0.250 (multiplicity 4)

Version c
A plane-wave DFT calculation with meta-GGA SCAN was carried out for LiReIr at its PBEsol-relaxed geometry.

Unit cell a=4.1232 b=4.1232 c=2.6546 alpha=90.00 beta=90.00 gamma=120.00
Space group P3m1 (No. 156)
Asymmetric unit:
Li  0.0000  0.0000  0.0000 (multiplicity 1)
Re  0.3333  0.6667  0.6353 (multiplicity 1)
Ir  0.6667  0.3333  0.2451 (multiplicity 1)

Quick ranking, most stable first: version c, version a, version b.

Version a
A plane-wave DFT calculation with meta-GGA SCAN was carried out for LiSb2Ir at its PBEsol-relaxed geometry.

Unit cell a=3.680 b=4.401 c=4.509 alpha=90.00 beta=90.00 gamma=90.00
Space group Pmmm (No. 47)
Asymmetric unit:
Li  0.000  0.000  0.000 (multiplicity 1)
Sb  0.500  0.000  0.500 (multiplicity 1)
Sb  0.500  0.500  0.000 (multiplicity 1)
Ir  0.000  0.500  0.500 (multiplicity 1)

Version b
A plane-wave DFT calculation with meta-GGA SCAN was carried out for LiSb2Ir at its PBEsol-relaxed geometry.

Unit cell a=7.841 b=3.823 c=5.636 alpha=90.00 beta=103.98 gamma=90.00
Space group C2/m (No. 12)
Asymmetric unit:
Li  0.000  0.000  0.000 (multiplicity 2)
Sb  0.228  0.000  0.711 (multiplicity 4)
Ir  0.000  0.500  0.500 (multiplicity 2)

Quick ranking, most stable first: version b, version a.